Record 1
Crystalline KCrSe2 at its relaxed geometry, computed with GGA-PBE.

The structure in extended XYZ format:
```
4
Lattice="-3.844 -1.913 0.294 1.602 -3.434 -1.401 2.228 -3.616 5.590" Properties=species:S:1:pos:R:3 pbc="T T T"
Cr 1.256 -2.404 0.775
K 0.919 -6.120 3.684
Se 0.166 -0.302 0.205
Se -0.440 -3.661 1.914
```

Calculated values
VASP energy (eV per atom): -5.0713
Spin magnetization (μB/f.u.): 3.00
Formation energy without anion corrections (eV per atom): -0.649
Volume (Å³/f.u.): 116.9
Symmetry: No. 38



Record 2
Crystalline Ce3YSc2S6 at its relaxed geometry, computed with GGA-PBE.

The structure in extended XYZ format:
```
12
Lattice="-1.938 -4.457 4.609 -2.391 -0.380 -6.246 6.380 -2.235 -1.105" Properties=species:S:1:pos:R:3 pbc="T T T"
Ce 0.873 -2.164 -5.024
Ce 1.178 -4.909 2.282
Ce 1.025 -3.536 -1.371
Y 0.000 0.000 0.000
Sc -2.240 -1.738 -2.630
Sc -2.089 -3.099 0.993
S 1.740 -6.061 -0.220
S -1.729 -4.045 -1.447
S 0.311 -1.012 -2.522
S 1.584 -4.661 -3.946
S 3.780 -3.028 -1.295
S 0.466 -2.411 1.204
```

Calculated values
VASP energy (eV per atom): -7.1086
Spin magnetization (μB/f.u.): 2.45
Formation energy without anion corrections (eV per atom): -1.967
Volume (Å³/f.u.): 251.4
Symmetry: No. 12



Record 3
Crystalline TbNd2DyEr4 at its relaxed geometry, computed with GGA-PBE.

The structure in extended XYZ format:
```
16
Lattice="9.332 -0.034 -1.746 -0.040 9.332 -1.746 -5.902 -5.906 8.309" Properties=species:S:1:pos:R:3 pbc="T T T"
Tb -0.020 4.666 -0.873
Tb 6.361 1.679 1.536
Nd 4.666 -0.017 -0.873
Nd 1.715 -2.970 3.282
Nd -2.951 -2.953 4.155
Nd 4.646 4.649 -1.746
Dy 1.695 1.696 2.409
Dy 3.430 -5.940 6.564
Er -3.632 1.109 6.558
Er 4.013 -0.613 2.414
Er -0.623 4.005 2.404
Er 7.021 2.283 -1.740
Er 1.097 1.077 5.664
Er 4.008 3.990 1.562
Er -0.618 -0.598 3.256
Er 2.293 2.315 -0.847
```

Calculated values
VASP energy (eV per atom): -4.1987
E_form (eV per atom): 0.43
Spin magnetization (μB/f.u.): 2.80
Volume (Å³/f.u.): 265.2
Symmetry: No. 74



Record 4
Crystalline La2AgSn3Pd4 at its relaxed geometry, computed with GGA-PBE.

The structure in extended XYZ format:
```
10
Lattice="-4.013 0.694 2.016 -0.903 -4.446 -0.266 4.688 -1.543 9.862" Properties=species:S:1:pos:R:3 pbc="T T T"
La -0.817 -0.044 3.511
La 3.046 -3.374 7.225
Ag -0.114 -2.647 5.806
Sn 2.344 -0.771 4.931
Sn 2.088 -1.000 9.622
Sn 0.141 -2.418 1.114
Pd -2.458 -1.876 0.875
Pd 0.000 0.000 0.000
Pd 0.982 -0.636 7.295
Pd 1.248 -2.782 3.441
```

Calculated values
VASP energy (eV per atom): -5.2742
E_form (eV per atom): -0.73
Spin magnetization (μB/f.u.): 0.00
Volume (Å³/f.u.): 227.8
Symmetry: No. 115



Record 5
Crystalline Na2In2As3 at its relaxed geometry, computed with GGA-PBE.

The structure in extended XYZ format:
```
14
Lattice="-4.298 1.155 0.128 -3.713 -5.821 5.332 -0.550 5.622 8.235" Properties=species:S:1:pos:R:3 pbc="T T T"
Na -1.840 1.362 3.391
Na -6.722 -0.405 10.304
Na -3.124 4.495 9.449
Na -5.438 -3.538 4.246
In -1.349 2.797 6.910
In -7.212 -1.841 6.785
In -4.060 1.132 8.347
In -4.501 -0.176 5.348
As -4.363 -0.435 12.347
As -4.198 1.391 1.348
As -2.659 -1.777 4.195
As -5.902 2.733 9.500
As -4.769 -1.471 8.033
As -3.792 2.427 5.662
```

Calculated values
VASP energy (eV per atom): -3.4499
E_form (eV per atom): -0.30
Spin magnetization (μB/f.u.): 0.00
Volume (Å³/f.u.): 181.9
Symmetry: No. 12



Record 6
Crystalline YScSi at its relaxed geometry, computed with GGA-PBE.

The structure in extended XYZ format:
```
3
Lattice="3.944 0.000 0.000 -1.972 3.416 0.000 0.000 0.000 6.143" Properties=species:S:1:pos:R:3 pbc="T T T"
Sc 0.000 0.000 0.581
Si 0.000 2.277 1.940
Y 1.972 1.139 3.621
```

Calculated values
VASP energy (eV per atom): -6.3054
Spin magnetization (μB/f.u.): 0.48
Formation energy without anion corrections (eV per atom): -0.232
Volume (Å³/f.u.): 82.8
Symmetry: No. 156